Entry 1:
Density functional theory data (PBE) for crystalline P2HS at its relaxed geometry.

abc: 4.960 4.960 9.242
angles: 90.00 90.00 90.00
Fractional coordinates of all 16 atoms:
P (0.158, 0.250, 0.125)
P (0.250, 0.658, 0.375)
P (0.250, 0.842, 0.875)
P (0.342, 0.250, 0.625)
P (0.658, 0.750, 0.625)
P (0.750, 0.158, 0.875)
P (0.750, 0.342, 0.375)
P (0.842, 0.750, 0.125)
H (0.000, 0.000, 0.000)
H (0.000, 0.500, 0.250)
H (0.500, 0.000, 0.750)
H (0.500, 0.500, 0.500)
S (0.000, 0.000, 0.500)
S (0.000, 0.500, 0.750)
S (0.500, 0.000, 0.250)
S (0.500, 0.500, 0.000)

**Magnetization**: 0.0 μB/f.u.
**Energy above the most stable polymorph in this dataset**: 0.000 eV per atom
**SG**: I-42d

Entry 2:
Density functional theory data (PBE) for crystalline Nd2BeGa at its relaxed geometry.

abc: 3.597 3.597 7.302
angles: 90.00 90.00 90.00
Fractional coordinates of all 4 atoms:
Nd (0.000, 0.000, 0.234)
Nd (0.000, 0.000, 0.766)
Be (0.500, 0.500, 0.000)
Ga (0.500, 0.500, 0.500)

**Magnetization**: 0.0 μB/f.u.
**Energy above the most stable polymorph in this dataset**: 0.000 eV per atom
**SG**: P4/mmm

Entry 3:
Density functional theory data (PBE) for crystalline Rb3Y3TaSe8 at its relaxed geometry.

abc: 8.191 8.191 9.468
angles: 115.69 115.69 59.98
Fractional coordinates of all 15 atoms:
Rb (0.000, 0.000, 0.000)
Rb (0.000, 0.500, 0.000)
Rb (0.500, 0.000, 0.000)
Y (0.000, 0.500, 0.500)
Y (0.500, 0.000, 0.500)
Y (0.500, 0.500, 0.500)
Ta (0.000, 0.000, 0.500)
Se (0.217, 0.217, 0.686)
Se (0.217, 0.752, 0.686)
Se (0.248, 0.783, 0.314)
Se (0.267, 0.267, 0.302)
Se (0.733, 0.733, 0.698)
Se (0.752, 0.217, 0.686)
Se (0.783, 0.248, 0.314)
Se (0.783, 0.783, 0.314)

**Magnetization**: 1.0 μB/f.u.
**Raw formation energy**: -1.499 eV/atom
**SG**: C2/m

- Look up the magnetization of the first one.
  0.0 μB/f.u.